First-principles (PBE) data for crystalline InMo at its relaxed geometry, as listed in OQMD via LeMat-Bulk.

Calculated values
Distance to the lowest polymorph of the same formula ... 705 meV per atom

Cell: 5.509 5.509 5.509 Å, 90.00 90.00 90.00°
Space group Fm-3m (No. 225)
Asymmetric unit:
In1 0.000 0.000 0.000
Mo1 0.000 0.000 0.500

***

First-principles (PBE) data for crystalline YLu2As at its relaxed geometry, as listed in OQMD via LeMat-Bulk.

Cell: 7.348 7.348 7.348 Å, 90.00 90.00 90.00°
Space group F-43m (No. 216)
Asymmetric unit:
Y1 0.000 0.000 0.000
Lu1 0.000 0.000 0.500
Lu2 0.250 0.250 0.250
As1 0.250 0.250 0.750

***

First-principles (PBE) data for crystalline BeCuAs2 at its relaxed geometry, as listed in OQMD via LeMat-Bulk.

Cell: 6.256 6.256 6.256 Å, 90.00 90.00 90.00°
Space group F-43m (No. 216)
Asymmetric unit:
Be1 0.000 0.000 0.000
Cu1 0.250 0.250 0.250
As1 0.000 0.000 0.500
As2 0.250 0.250 0.750

***

First-principles (PBE) data for crystalline NaZrAuSe3 at its relaxed geometry, as listed in OQMD via LeMat-Bulk.

Calculated values
Distance to the lowest polymorph of the same formula ... 0 meV per atom

Cell: 7.778 3.917 9.727 Å, 90.00 106.18 90.00°
Space group P2_1/m (No. 11)
Asymmetric unit:
Na1 0.246 0.250 0.288
Zr1 0.311 0.750 0.828
Au1 0.094 0.250 0.604
Se1 0.081 0.250 0.865
Se2 0.300 0.750 0.549
Se3 0.429 0.750 0.130

***

First-principles (PBE) data for crystalline ZrTaAsO at its relaxed geometry, as listed in OQMD via LeMat-Bulk.

Calculated values
Distance to the lowest polymorph of the same formula ... 304 meV per atom

Cell: 3.583 7.083 5.669 Å, 90.00 90.00 90.00°
Space group Pmc2_1 (No. 26)
Asymmetric unit:
Zr1 0.000 0.103 0.000
Ta1 0.500 0.243 0.517
As1 0.500 0.388 0.939
O1 0.000 0.204 0.367

***

First-principles (PBE) data for crystalline Cu7Ag3 at its relaxed geometry, as listed in OQMD via LeMat-Bulk.

Calculated values
ΔH_f (0 K) ... 0.96 eV per formula unit
Distance to the lowest polymorph of the same formula ... 52 meV per atom

Cell: 2.7325 2.7325 64.1893 Å, 90.00 90.00 120.00°
Space group R3m (No. 160, hexagonal axes)
Asymmetric unit:
Cu1 0.0000 0.0000 0.0000
Cu2 0.0000 0.0000 0.0925
Cu3 0.0000 0.0000 0.1936
Cu4 0.0000 0.0000 0.3949
Cu5 0.0000 0.0000 0.6972
Cu6 0.0000 0.0000 0.7898
Cu7 0.0000 0.0000 0.8906
Ag1 0.0000 0.0000 0.2983
Ag2 0.0000 0.0000 0.4918
Ag3 0.0000 0.0000 0.5922

***

First-principles (PBE) data for crystalline AgBr at its relaxed geometry, as listed in OQMD via LeMat-Bulk.

Cell: 4.4628 4.4628 4.9601 Å, 90.00 90.00 120.00°
Space group P6/mmm (No. 191)
Asymmetric unit:
Ag1 0.0000 0.0000 0.0000
Br1 0.0000 0.0000 0.5000

***

First-principles (PBE) data for crystalline SmDyGa at its relaxed geometry, as listed in OQMD via LeMat-Bulk.

Calculated values
Distance to the lowest polymorph of the same formula ... 0 meV per atom

Cell: 7.068 7.068 7.068 Å, 90.00 90.00 90.00°
Space group F-43m (No. 216)
Asymmetric unit:
Sm1 0.000 0.000 0.000
Dy1 0.000 0.000 0.500
Ga1 0.250 0.250 0.750

***

First-principles (PBE) data for crystalline HoZr at its relaxed geometry, as listed in OQMD via LeMat-Bulk.

Calculated values
ΔH_f (0 K) ... 0.11 eV per formula unit

Cell: 5.317 6.886 5.867 Å, 90.00 90.00 90.00°
Space group Pmm2 (No. 25)
Asymmetric unit:
Ho1 0.000 0.000 0.000
Ho2 0.000 0.265 0.520
Ho3 0.500 0.000 0.356
Zr1 0.000 0.500 0.025
Zr2 0.500 0.278 0.855
Zr3 0.500 0.500 0.325

***

First-principles (PBE) data for crystalline NdZnCo at its relaxed geometry, as listed in OQMD via LeMat-Bulk.

Calculated values
ΔH_f (0 K) ... -0.48 eV per formula unit

Cell: 4.291 4.291 6.614 Å, 90.00 90.00 90.00°
Space group P4/nmm (No. 129, origin choice 2)
Asymmetric unit:
Nd1 0.250 0.250 0.206
Zn1 0.250 0.250 0.690
Co1 0.250 0.750 0.500

***

Number 1: calculated total energy -5.648 eV/atom. Number 2: calculated total energy -5.170 eV/atom. Number 3: calculated total energy -3.618 eV/atom. Number 4: calculated total energy -4.903 eV/atom. Number 5: calculated total energy -8.628 eV/atom. Number 6: calculated total energy -3.353 eV/atom. Number 7: calculated total energy -2.300 eV/atom. Number 8: calculated total energy -4.357 eV/atom. Number 9: calculated total energy -6.509 eV/atom. Number 10: calculated total energy -4.539 eV/atom.